Density functional theory data (GGA-PBE) for a geometry-optimized KIn2BiPb structure.

Cell: 5.5865 4.9579 7.4548 Å, 109.42 112.01 90.00°
Element x y z (fractional)
In: 0.6722 0.1722 0.3444
K: 0.4404 0.4404 0.8808
Pb: 0.2034 0.7034 0.4068
Bi: 0.8291 0.8291 0.6582
In: 0.0670 0.0670 0.1340

Summary:
Mass density in g cm⁻³: 6.36
Total magnetic moment in μB per formula unit: 0.00
SG: Imm2
Calculated volume in Å³ per cell: 178.70
Crystal system: orthorhombic
Energy of formation from the pure elements in eV per atom: -0.12



Density functional theory data (GGA-PBE) for a geometry-optimized K2RbInBi2 structure.

Cell: 5.3036 9.0331 10.1036 Å, 90.00 90.00 90.00°
Element x y z (fractional)
Bi: 0.5000 0.3014 0.3883
In: 0.5000 0.6488 0.3329
K: 0.0000 0.3466 0.1704
Bi: 0.0000 0.2273 0.8297
Rb: 0.0000 0.5064 0.5617
Rb: 0.0000 0.0064 0.4383
Bi: 0.5000 0.8014 0.6117
In: 0.5000 0.1488 0.6671
Bi: 0.0000 0.7273 0.1703
K: 0.5000 0.0151 0.0907
K: 0.0000 0.8466 0.8296
K: 0.5000 0.5151 0.9093

Summary:
Mass density in g cm⁻³: 4.78
Total magnetic moment in μB per formula unit: 0.00
SG: Pmc2_1
Calculated volume in Å³ per cell: 484.05
Crystal system: orthorhombic
Energy of formation from the pure elements in eV per atom: -0.32